1.
An optimized crystal structure of Dy3Er2Hg2. Source: Alexandria via LeMat-Bulk, functional PBE.

Lattice parameters (Å, degrees): 16.1075 16.1075 3.5318 90.00 90.00 167.36
Last column: nearest neighbours and their distance in Å.
Positions (direct):
Dy1 0.0000 0.0000 0.0000  8 Hg 3.21, 4 Dy 3.53-3.55
Dy2 0.1272 0.8728 0.0000  4 Hg 3.24, 4 Er 3.51, 4 Dy 3.53-3.55
Dy3 0.8728 0.1272 0.0000  4 Hg 3.24, 4 Er 3.51, 4 Dy 3.53-3.55
Er1 0.2959 0.7041 0.5000  6 Er 3.43-3.55, 4 Dy 3.51
Er2 0.7041 0.2959 0.5000  6 Er 3.43-3.55, 4 Dy 3.51
Hg1 0.4371 0.5629 0.5000  8 Dy 3.21-3.24, 4 Hg 3.53-3.55
Hg2 0.5629 0.4371 0.5000  8 Dy 3.21-3.24, 4 Hg 3.53-3.55

Computed properties:
Crystal system: orthorhombic
Energy of formation, meV/atom: -178
E above lowest polymorph, meV/atom: 62
Volume, A^3/atom: 28.65

***

2.
An optimized crystal structure of DyHoErHg. Source: Alexandria via LeMat-Bulk, functional PBE.

Lattice parameters (Å, degrees): 5.3754 5.3754 5.3754 60.00 60.00 60.00
Last column: nearest neighbours and their distance in Å.
Positions (direct):
Dy1 0.0000 0.0000 0.0000  4 Hg 3.29, 4 Er 3.29
Ho1 0.5000 0.5000 0.5000  4 Hg 3.29, 4 Er 3.29
Er1 0.7500 0.7500 0.7500  4 Dy 3.29, 4 Ho 3.29
Hg1 0.2500 0.2500 0.2500  4 Dy 3.29, 4 Ho 3.29

Computed properties:
Crystal system: cubic
Energy of formation, meV/atom: -48
Volume, A^3/atom: 27.46

***

3.
An optimized crystal structure of Dy2ErIn2Hg2. Source: Alexandria via LeMat-Bulk, functional PBE.

Lattice parameters (Å, degrees): 9.2377 9.2377 9.2377 31.01 31.01 31.01
Last column: nearest neighbours and their distance in Å.
Positions (direct):
Dy1 0.1306 0.1306 0.1306  3 Hg 3.02, 3 In 3.36
Dy2 0.8694 0.8694 0.8694  3 Hg 3.02, 3 In 3.36
Er1 0.0000 0.0000 0.0000  6 In 3.30, 2 Dy 3.44
In1 0.2703 0.2703 0.2703  3 Hg 2.96, 3 Er 3.30
In2 0.7297 0.7297 0.7297  3 Hg 2.96, 3 Er 3.30
Hg1 0.4260 0.4260 0.4260  3 In 2.96, 3 Dy 3.02
Hg2 0.5740 0.5740 0.5740  3 In 2.96, 3 Dy 3.02

Computed properties:
Crystal system: trigonal
Energy of formation, meV/atom: -242
Volume, A^3/atom: 26.52